(1)
! NpU2Ru (PBE-GGA, optimized geometry); values from VASP
&SYSTEM
  ibrav = 0, nat = 12, ntyp = 3
/
ATOMIC_SPECIES
Np 237.00 Np.upf
U 238.03 U.upf
Ru 101.07 Ru.upf
ATOMIC_POSITIONS angstrom
Np 0.0000 0.0000 0.0000
Np 0.0000 1.9774 14.7836
Np 1.7125 0.9887 7.3918
U 0.0000 0.0000 5.6876
U 0.0000 0.0000 16.4877
U 0.0000 1.9774 9.0959
U 0.0000 1.9774 20.4712
U 1.7125 0.9887 1.7042
U 1.7125 0.9887 13.0794
Ru 0.0000 0.0000 11.0877
Ru 0.0000 1.9774 3.6959
Ru 1.7125 0.9887 18.4794
CELL_PARAMETERS angstrom
3.4250 0.0000 0.0000
-1.7125 2.9661 0.0000
0.0000 0.0000 22.1753
! - formation enthalpy at 0 K (eV/atom) = 0.15
! - total energy (eV/atom) = -11.050

(2)
! H3PdPb (PBE-GGA, optimized geometry); values from VASP
&SYSTEM
  ibrav = 0, nat = 5, ntyp = 3
/
ATOMIC_SPECIES
H 1.01 H.upf
Pd 106.42 Pd.upf
Pb 207.20 Pb.upf
ATOMIC_POSITIONS angstrom
H 0.0000 0.0000 2.0180
H 0.0000 2.0180 0.0000
H 2.0180 0.0000 0.0000
Pd 2.0180 2.0180 2.0180
Pb 0.0000 0.0000 0.0000
CELL_PARAMETERS angstrom
4.0360 0.0000 0.0000
0.0000 4.0360 0.0000
0.0000 0.0000 4.0360
! - total energy (eV/atom) = -2.973
! - energy relative to the lowest polymorph listed for this composition (meV per atom) = 710